Material: Tb4ThIn5
Method: DFT, PBE
State: relaxed

* calculated formation energy: -0.43 eV/atom
* DFT total energy: -4.397 eV/atom
* magnetization: 0.00 μB per formula unit

a = 3.5910 Å, b = 3.5910 Å, c = 21.1065 Å
α = 90.00°, β = 90.00°, γ = 90.00°
Last column: nearest neighbours and their distance in Å.
Atoms (fractional coordinates):
Tb  0.0000  0.0000  0.2046  8 In 3.28, 4 Tb 3.59
Tb  0.0000  0.0000  0.4016  8 In 3.28, 4 Tb 3.59
Tb  0.0000  0.0000  0.5984  8 In 3.28, 4 Tb 3.59
Tb  0.0000  0.0000  0.7954  8 In 3.28, 4 Tb 3.59
Th  0.0000  0.0000  0.0000  8 In 3.39, 4 Th 3.59
In  0.5000  0.5000  0.1066  4 Tb 3.28, 4 Th 3.39, 4 In 3.59
In  0.5000  0.5000  0.3033  8 Tb 3.28, 4 In 3.59
In  0.5000  0.5000  0.5000  8 Tb 3.28, 4 In 3.59
In  0.5000  0.5000  0.6967  8 Tb 3.28, 4 In 3.59
In  0.5000  0.5000  0.8934  4 Tb 3.28, 4 Th 3.39, 4 In 3.59